# 1
VASP calculation (PBE) on a relaxed NdNp3P4 crystal. Values from VASP.

Cell and atoms, written as Quantum ESPRESSO input:
```
&SYSTEM
  ibrav = 0, nat = 16, ntyp = 3
/
ATOMIC_SPECIES
Nd 144.24 Nd.upf
Np 237.00 Np.upf
P 30.97 P.upf
CELL_PARAMETERS angstrom
8.024 0.000 0.000
0.000 11.325 0.000
0.000 0.000 3.993
ATOMIC_POSITIONS angstrom
Nd 0.000 0.000 0.000
Nd 4.012 5.663 0.000
Np 0.000 5.663 0.000
Np 2.006 2.831 1.996
Np 2.006 8.494 1.996
Np 4.012 0.000 0.000
Np 6.018 2.831 1.996
Np 6.018 8.494 1.996
P 0.000 2.888 0.000
P 0.000 8.437 0.000
P 1.914 5.663 1.996
P 2.098 0.000 1.996
P 4.012 2.774 0.000
P 4.012 8.551 0.000
P 5.926 0.000 1.996
P 6.110 5.663 1.996
```

Summary:
space group: Cmmm

# 2
VASP calculation (PBE) on a relaxed Nd5NpP6 crystal. Values from VASP.

Cell and atoms, written as Quantum ESPRESSO input:
```
&SYSTEM
  ibrav = 0, nat = 12, ntyp = 3
/
ATOMIC_SPECIES
Nd 144.24 Nd.upf
Np 237.00 Np.upf
P 30.97 P.upf
CELL_PARAMETERS angstrom
3.576 -6.192 0.000
3.576 6.192 0.000
-2.384 0.000 6.740
ATOMIC_POSITIONS angstrom
Nd 0.000 0.000 0.000
Nd 2.384 4.136 3.370
Nd 3.576 2.090 0.000
Nd 3.576 -2.090 0.000
Nd 2.384 -4.136 3.370
Np 2.384 0.000 3.370
P 1.234 1.994 1.731
P 0.086 0.000 5.009
P 1.234 -1.994 1.731
P 3.534 1.994 5.010
P 4.682 0.000 1.732
P 3.534 -1.994 5.010
```

Summary:
space group: C2/m

# 3
VASP calculation (PBE) on a relaxed NdNpP2 crystal. Values from VASP.

Cell and atoms, written as Quantum ESPRESSO input:
```
&SYSTEM
  ibrav = 0, nat = 12, ntyp = 3
/
ATOMIC_SPECIES
Nd 144.24 Nd.upf
Np 237.00 Np.upf
P 30.97 P.upf
CELL_PARAMETERS angstrom
4.051 0.000 0.000
-2.025 3.508 0.000
0.000 0.000 19.945
ATOMIC_POSITIONS angstrom
Nd 0.000 0.000 0.000
Nd 0.000 2.339 13.296
Nd 2.025 1.169 6.648
Np 0.000 0.000 9.972
Np 0.000 2.339 3.324
Np 2.025 1.169 16.620
P 0.000 0.000 4.866
P 0.000 0.000 15.079
P 0.000 2.339 8.430
P 0.000 2.339 18.162
P 2.025 1.169 1.782
P 2.025 1.169 11.514
```

Summary:
space group: R-3m
E above lowest polymorph: 0.000 eV per atom

# 4
VASP calculation (PBE) on a relaxed NdNpP2 crystal. Values from VASP.

Cell and atoms, written as Quantum ESPRESSO input:
```
&SYSTEM
  ibrav = 0, nat = 12, ntyp = 3
/
ATOMIC_SPECIES
Nd 144.24 Nd.upf
Np 237.00 Np.upf
P 30.97 P.upf
CELL_PARAMETERS angstrom
3.944 0.000 0.000
-1.972 3.415 0.000
0.000 0.000 21.429
ATOMIC_POSITIONS angstrom
Nd 0.000 0.000 0.000
Nd 0.000 2.277 14.286
Nd 1.972 1.138 7.143
Np 0.000 0.000 3.681
Np 0.000 2.277 17.967
Np 1.972 1.138 10.824
P 0.000 0.000 9.066
P 0.000 0.000 12.510
P 0.000 2.277 1.923
P 0.000 2.277 5.367
P 1.972 1.138 16.209
P 1.972 1.138 19.653
```

Summary:
space group: R3m
E above lowest polymorph: 0.190 eV per atom

# 5
VASP calculation (PBE) on a relaxed NdNpP crystal. Values from VASP.

Cell and atoms, written as Quantum ESPRESSO input:
```
&SYSTEM
  ibrav = 0, nat = 6, ntyp = 3
/
ATOMIC_SPECIES
Nd 144.24 Nd.upf
Np 237.00 Np.upf
P 30.97 P.upf
CELL_PARAMETERS angstrom
4.148 0.000 0.000
0.000 3.951 0.000
-0.141 0.000 8.319
ATOMIC_POSITIONS angstrom
Nd 1.015 0.988 1.194
Nd 2.992 2.963 7.125
Np 1.206 2.963 4.137
Np 2.801 0.988 4.182
P 0.883 0.988 6.358
P 3.124 2.963 1.961
```

Summary:
space group: P2_1/m

# 6
VASP calculation (PBE) on a relaxed NdNp2PaP4 crystal. Values from VASP.

Cell and atoms, written as Quantum ESPRESSO input:
```
&SYSTEM
  ibrav = 0, nat = 8, ntyp = 4
/
ATOMIC_SPECIES
Nd 144.24 Nd.upf
Np 237.00 Np.upf
Pa 231.04 Pa.upf
P 30.97 P.upf
CELL_PARAMETERS angstrom
6.929 0.000 0.000
0.000 4.019 0.000
-2.337 0.000 6.572
ATOMIC_POSITIONS angstrom
Nd 0.000 0.000 0.000
Np 2.296 0.000 3.286
Np 3.464 2.010 0.000
Pa -1.168 2.010 3.286
P 0.020 0.000 4.893
P 1.194 2.010 1.720
P 3.397 2.010 4.853
P 4.572 0.000 1.679
```

Summary:
space group: P2/m

# 7
VASP calculation (PBE) on a relaxed NdNpPa2P4 crystal. Values from VASP.

Cell and atoms, written as Quantum ESPRESSO input:
```
&SYSTEM
  ibrav = 0, nat = 16, ntyp = 4
/
ATOMIC_SPECIES
Nd 144.24 Nd.upf
Np 237.00 Np.upf
Pa 231.04 Pa.upf
P 30.97 P.upf
CELL_PARAMETERS angstrom
5.670 0.000 0.000
0.000 5.670 0.000
0.000 0.000 11.361
ATOMIC_POSITIONS angstrom
Nd 0.000 0.000 0.000
Nd 2.835 2.835 5.680
Np 0.000 2.835 8.521
Np 2.835 0.000 2.840
Pa 0.000 0.000 5.680
Pa 0.000 2.835 2.840
Pa 2.835 0.000 8.521
Pa 2.835 2.835 0.000
P 0.000 0.000 2.901
P 0.000 0.000 8.460
P 0.000 2.835 0.015
P 0.000 2.835 5.666
P 2.835 0.000 5.695
P 2.835 0.000 11.346
P 2.835 2.835 2.779
P 2.835 2.835 8.581
```

Summary:
space group: I-4m2

# 8
VASP calculation (PBE) on a relaxed PmNd2NpP4 crystal. Values from VASP.

Cell and atoms, written as Quantum ESPRESSO input:
```
&SYSTEM
  ibrav = 0, nat = 8, ntyp = 4
/
ATOMIC_SPECIES
Pm 145.00 Pm.upf
Nd 144.24 Nd.upf
Np 237.00 Np.upf
P 30.97 P.upf
CELL_PARAMETERS angstrom
7.103 0.000 0.000
0.000 4.096 0.000
-2.349 0.000 6.707
ATOMIC_POSITIONS angstrom
Pm 0.000 0.000 0.000
Nd -1.175 2.048 3.354
Nd 2.377 0.000 3.354
Np 3.552 2.048 0.000
P 1.250 2.048 1.618
P 0.063 0.000 5.115
P 4.691 0.000 1.592
P 3.504 2.048 5.089
```

Summary:
space group: P2/m

no.,calculated formation energy (eV per atom)
1,-0.995
2,-1.419
3,-1.194
4,-1.004
5,-0.760
6,-1.138
7,-1.245
8,-1.364